Compound: LaNdEr2S4
Source: Alexandria
Functional: GGA-PBE
Structure: optimized geometry

Size of the total moment: 0.00 μB per formula unit
Uncorrected energy: -6.450 eV per atom
Formation energy (no corrections): -2034.0 meV per atom

```
LaNdEr2S4
1.0
6.8264 0.0000 0.0000
0.0000 3.9192 0.0000
-2.2570 0.0000 6.7112
La Nd Er S
1 1 2 4
direct
0.0000 0.0000 0.0000
0.5000 0.5000 0.0000
0.0000 0.5000 0.5000
0.5000 0.0000 0.5000
0.2442 0.0000 0.7283
0.2599 0.5000 0.2733
0.7401 0.5000 0.7267
0.7558 0.0000 0.2717
```



Compound: LiZnCl2
Source: Alexandria
Functional: GGA-PBE
Structure: optimized geometry

Size of the total moment: 0.00 μB per formula unit
Uncorrected energy: -2.652 eV per atom
Formation energy (no corrections): -931.5 meV per atom

```
LiZnCl2
1.0
3.6047 0.0000 0.0000
0.0000 3.6614 0.0000
0.0000 0.0000 7.6459
Li Zn Cl
1 1 2
direct
0.0000 0.0000 0.0000
0.0000 0.5000 0.5000
0.5000 0.0000 0.5000
0.5000 0.5000 0.0000
```



Compound: W2C
Source: Alexandria
Functional: GGA-PBE
Structure: optimized geometry

ΔE_f: 0.1093 eV/atom
Size of the total moment: 0.00 μB per formula unit
Uncorrected energy: -11.601 eV per atom

```
W2C
1.0
1.4471 0.8355 5.2773
-1.4471 0.8355 5.2773
0.0000 -1.6710 5.2773
W C
2 1
direct
0.0000 0.0000 0.0000
0.1789 0.1789 0.1789
0.7558 0.7558 0.7558
```